VASP calculation (PBE) on a geometry-optimized PPt structure.

The structure in CIF format:
```
data_PPt
_chemical_formula_sum 'P8 Pt8'
_cell_length_a 9.7007
_cell_length_b 9.7007
_cell_length_c 3.7963
_cell_angle_alpha 90.00
_cell_angle_beta 90.00
_cell_angle_gamma 90.00
_symmetry_space_group_name_H-M 'I 4/m'
_symmetry_Int_Tables_number 87
_symmetry_space_group_name_Hall '-I 4'
loop_
_atom_site_label
_atom_site_fract_x
_atom_site_fract_y
_atom_site_fract_z
P1 0.0848 0.7087 0.0000
Pt1 0.1477 0.2877 0.0000
```

Properties
The value obtained for the density is 8.4 g/cm³. The value obtained for the total magnetic moment is 0.000 μB/atom. For the total energy, the calculation gives -6.01 eV per atom. The formation energy is -27.84 kJ/mol of atoms.